# 1
The following is a DFT calculation (PBE) of an optimized crystal structure of Sr2TaCo.

## Properties
As for the crystal system: orthorhombic. The symmetry is Imm2 (44).

Cell and atoms, written as POSCAR:
```
Sr2TaCo
1.0
-1.774 2.815 5.572
1.774 -2.815 5.572
1.774 2.815 -5.572
Sr Ta Co
2 1 1
Cartesian
0.000 0.000 0.000
0.000 2.815 2.219
1.774 0.000 3.517
0.000 0.000 5.006
```

# 2
The following is a DFT calculation (PBE) of an optimized crystal structure of SrTaCo2.

## Properties
As for the crystal system: tetragonal. The symmetry is I-42d (122).

Cell and atoms, written as POSCAR:
```
SrTaCo2
1.0
-3.555 3.555 3.181
3.555 -3.555 3.181
3.555 3.555 -3.181
Sr Ta Co
2 2 4
Cartesian
0.000 0.000 0.000
0.000 3.555 1.590
3.555 0.000 1.590
0.000 0.000 3.181
1.777 2.204 -0.795
4.906 1.777 0.795
1.777 1.351 2.385
-1.351 1.777 3.976
```

# 3
The following is a DFT calculation (PBE) of an optimized crystal structure of SrTa2Co.

## Properties
As for the crystal system: tetragonal. The symmetry is I4_1/amd (141).

Cell and atoms, written as POSCAR:
```
SrTa2Co
1.0
-2.596 2.596 8.214
2.596 -2.596 8.214
2.596 2.596 -8.214
Sr Ta Co
2 4 2
Cartesian
2.596 1.298 2.054
0.000 1.298 6.161
0.000 0.000 0.000
1.298 1.298 -4.107
1.298 -1.298 4.107
0.000 2.596 0.000
2.596 -1.298 6.161
0.000 3.894 2.054
```

# 4
The following is a DFT calculation (PBE) of an optimized crystal structure of SrTa2Co.

## Properties
As for the crystal system: monoclinic. The symmetry is Cm (8).

Cell and atoms, written as POSCAR:
```
SrTa2Co
1.0
4.837 -1.602 0.000
4.837 1.602 0.000
-1.633 0.000 6.006
Sr Ta Co
1 2 1
Cartesian
0.000 0.000 0.000
0.877 0.000 3.686
3.583 0.000 2.801
6.577 0.000 2.133
```

# 5
The following is a DFT calculation (PBE) of an optimized crystal structure of Sr2TaCo.

## Properties
As for the crystal system: trigonal. The symmetry is R3m (160).

Cell and atoms, written as POSCAR:
```
Sr2TaCo
1.0
2.054 1.186 8.831
-2.054 1.186 8.831
0.000 -2.372 8.831
Sr Ta Co
2 1 1
Cartesian
0.000 0.000 0.000
0.000 0.000 4.853
0.000 0.000 20.049
0.000 0.000 11.455
```

# 6
The following is a DFT calculation (PBE) of an optimized crystal structure of Sr2TaCo.

## Properties
As for the crystal system: monoclinic. The symmetry is P2/m (10).

Cell and atoms, written as POSCAR:
```
Sr2TaCo
1.0
3.188 0.000 0.000
0.000 4.970 0.000
-0.031 0.000 6.323
Sr Ta Co
2 1 1
Cartesian
-0.003 0.000 1.635
3.160 0.000 4.688
1.594 2.485 0.000
1.578 2.485 3.161
```

# 7
The following is a DFT calculation (PBE) of an optimized crystal structure of Sr2TaCo.

## Properties
As for the crystal system: tetragonal. The symmetry is P4/mmm (123).

Cell and atoms, written as POSCAR:
```
Sr2TaCo
1.0
3.239 0.000 0.000
0.000 3.239 0.000
0.000 0.000 9.637
Sr Ta Co
2 1 1
Cartesian
0.000 0.000 2.118
0.000 0.000 7.519
1.620 1.620 4.818
1.620 1.620 0.000
```

# 8
The following is a DFT calculation (PBE) of an optimized crystal structure of Sr2TaCo.

## Properties
As for the crystal system: tetragonal. The symmetry is I-42d (122).

Cell and atoms, written as POSCAR:
```
Sr2TaCo
1.0
-5.675 5.675 2.268
5.675 -5.675 2.268
5.675 5.675 -2.268
Sr Ta Co
4 2 2
Cartesian
-0.896 2.838 0.567
2.838 4.779 1.701
0.896 8.513 0.567
-2.838 6.572 1.701
5.675 0.000 1.134
0.000 0.000 2.268
0.000 0.000 0.000
0.000 5.675 1.134
```

no.,DFT total energy (eV for the cell shown),volume (Å³/atom)
1,-20.14,27.821
2,-49.80,20.095
3,-55.83,27.673
4,-30.14,23.262
5,-20.98,32.267
6,-17.75,25.040
7,-18.28,25.276
8,-38.05,36.530